No. 1
Entry from the Alexandria database: crystalline KPaBiO6 at its relaxed geometry (GGA-PBE).

Cell lengths 5.840, 5.840, 11.775 Å; angles 90.00, 90.00, 120.00 degrees
Last column: magnetic moment on the atom in μB.
Sites, in units of the cell vectors:
1 O 0.004 0.381 0.651  0.15
2 O 0.381 0.377 0.349  0.15
3 O 0.623 0.004 0.349  0.15
4 O 0.377 0.381 0.849  0.15
5 O 0.004 0.623 0.849  0.15
6 O 0.619 0.623 0.651  0.15
7 O 0.381 0.004 0.151  0.15
8 O 0.623 0.619 0.151  0.15
9 O 0.377 0.996 0.651  0.15
10 O 0.996 0.377 0.151  0.15
11 O 0.619 0.996 0.849  0.15
12 O 0.996 0.619 0.349  0.15
13 Bi 0.667 0.333 0.250  -0.02
14 Bi 0.333 0.667 0.750  -0.02
15 Pa 0.333 0.667 0.250  0.07
16 Pa 0.667 0.333 0.750  0.07
17 K 0.000 0.000 0.000  0.00
18 K 0.000 0.000 0.500  0.00

Density of states at the Fermi level: 7.4 states/eV/f.u.

=====

No. 2
Entry from the Alexandria database: crystalline KBiPbO3 at its relaxed geometry (GGA-PBE).

Cell lengths 3.529, 7.466, 9.593 Å; angles 87.95, 90.00, 90.00 degrees
Sites, in units of the cell vectors:
1 O 0.750 0.801 0.146
2 O 0.750 0.101 0.407
3 O 0.250 0.899 0.593
4 O 0.250 0.621 0.919
5 O 0.750 0.379 0.081
6 O 0.250 0.199 0.854
7 Bi 0.250 0.603 0.139
8 Bi 0.750 0.397 0.861
9 Pb 0.250 0.197 0.540
10 Pb 0.750 0.803 0.460
11 K 0.750 0.895 0.846
12 K 0.250 0.105 0.154

Density of states at the Fermi level: 0.0 states/eV/f.u.

=====

No. 3
Entry from the Alexandria database: crystalline K2BiPbO at its relaxed geometry (GGA-PBE).

Cell lengths 5.124, 8.151, 9.154 Å; angles 129.12, 90.00, 90.00 degrees
Sites, in units of the cell vectors:
1 K 0.250 0.344 0.382
2 K 0.250 0.076 0.881
3 K 0.750 0.924 0.119
4 K 0.750 0.656 0.618
5 Pb 0.750 0.499 0.148
6 Pb 0.250 0.501 0.852
7 Bi 0.750 0.179 0.649
8 Bi 0.250 0.821 0.351
9 O 0.250 0.700 0.769
10 O 0.750 0.300 0.231

Density of states at the Fermi level: 0.9 states/eV/f.u.

=====

No. 4
Entry from the Alexandria database: crystalline K2BiPbO4 at its relaxed geometry (GGA-PBE).

Cell lengths 5.995, 5.996, 6.701 Å; angles 116.66, 116.65, 89.99 degrees
Sites, in units of the cell vectors:
1 K 0.236 0.236 0.472
2 K 0.486 0.986 0.972
3 O 0.866 0.430 0.216
4 O 0.042 0.122 0.728
5 O 0.687 0.606 0.729
6 O 0.349 0.786 0.215
7 Pb 0.736 0.736 0.472
8 Bi 0.986 0.486 0.972

Density of states at the Fermi level: 2.7 states/eV/f.u.

=====

No. 5
Entry from the Alexandria database: crystalline K3BiPb2O6 at its relaxed geometry (GGA-PBE).

Cell lengths 6.239, 6.239, 7.165 Å; angles 90.00, 90.00, 120.00 degrees
Sites, in units of the cell vectors:
1 Pb 0.667 0.333 0.835
2 Pb 0.333 0.667 0.165
3 O 0.840 0.681 0.682
4 O 0.681 0.840 0.318
5 O 0.160 0.840 0.318
6 O 0.319 0.160 0.682
7 O 0.840 0.160 0.682
8 O 0.160 0.319 0.318
9 K 0.333 0.667 0.632
10 K 0.000 0.000 0.000
11 K 0.667 0.333 0.368
12 Bi 0.000 0.000 0.500

=====

No. 6
Entry from the Alexandria database: crystalline K2BiPd2O6 at its relaxed geometry (GGA-PBE).

Cell lengths 5.650, 5.650, 6.823 Å; angles 102.24, 102.24, 113.28 degrees
Last column: magnetic moment on the atom in μB.
Sites, in units of the cell vectors:
1 O 0.010 0.366 0.691  0.08
2 O 0.634 0.990 0.309  0.08
3 O 0.366 0.010 0.691  0.08
4 O 0.275 0.275 0.342  0.03
5 O 0.990 0.634 0.309  0.08
6 O 0.725 0.725 0.658  0.03
7 Bi 0.000 0.000 0.500  -0.01
8 Pd 0.665 0.335 0.500  0.31
9 Pd 0.335 0.665 0.500  0.31
10 K 0.181 0.819 0.000  0.00
11 K 0.819 0.181 0.000  0.00

Density of states at the Fermi level: 4.8 states/eV/f.u.

=====

No. 7
Entry from the Alexandria database: crystalline K4Bi3PdO8 at its relaxed geometry (GGA-PBE).

Cell lengths 6.907, 7.310, 7.300 Å; angles 116.56, 118.23, 90.00 degrees
Last column: magnetic moment on the atom in μB.
Sites, in units of the cell vectors:
1 Bi 0.500 0.500 0.500  0.02
2 Bi 0.500 0.500 0.000  0.00
3 Bi 0.000 0.500 0.500  0.02
4 K 0.000 0.000 0.000  0.00
5 K 0.500 0.000 0.000  0.00
6 K 0.500 0.000 0.500  0.00
7 K 0.000 0.000 0.500  0.00
8 O 0.751 0.668 0.942  0.04
9 O 0.191 0.668 0.942  0.04
10 O 0.249 0.332 0.058  0.04
11 O 0.809 0.332 0.058  0.04
12 O 0.722 0.266 0.444  0.07
13 O 0.277 0.297 0.554  0.04
14 O 0.278 0.734 0.556  0.07
15 O 0.723 0.703 0.446  0.04
16 Pd 0.000 0.500 0.000  0.11

Density of states at the Fermi level: 11.6 states/eV/f.u.

=====

No. 8
Entry from the Alexandria database: crystalline KBiPdO3 at its relaxed geometry (GGA-PBE).

Cell lengths 3.980, 7.043, 7.527 Å; angles 104.45, 90.00, 106.41 degrees
Sites, in units of the cell vectors:
1 O 0.504 0.009 0.312
2 O 0.848 0.697 0.224
3 O 0.152 0.303 0.776
4 O 0.496 0.991 0.688
5 O 0.834 0.668 0.642
6 O 0.166 0.332 0.358
7 Bi 0.651 0.303 0.579
8 Bi 0.349 0.697 0.421
9 Pd 0.994 0.988 0.731
10 Pd 0.006 0.012 0.269
11 K 0.645 0.290 0.068
12 K 0.355 0.710 0.932

Density of states at the Fermi level: 1.8 states/eV/f.u.

=====

No. 9
Entry from the Alexandria database: crystalline KBiPdO4 at its relaxed geometry (GGA-PBE).

Cell lengths 6.072, 7.341, 6.623 Å; angles 116.82, 90.00, 114.43 degrees
Sites, in units of the cell vectors:
1 Pd 0.500 0.500 0.500
2 Pd 0.000 0.500 0.500
3 O 0.713 0.969 0.235
4 O 0.743 0.031 0.765
5 O 0.694 0.387 0.637
6 O 0.306 0.613 0.363
7 O 0.257 0.969 0.235
8 O 0.287 0.031 0.765
9 O 0.306 0.613 0.750
10 O 0.694 0.387 0.250
11 K 0.825 0.651 0.075
12 K 0.175 0.349 0.925
13 Bi 0.500 0.000 0.500
14 Bi 0.500 0.000 0.000

Density of states at the Fermi level: 1.1 states/eV/f.u.

=====

No. 10
Entry from the Alexandria database: crystalline KPm2BiO6 at its relaxed geometry (GGA-PBE).

Cell lengths 6.053, 6.054, 6.416 Å; angles 61.85, 61.85, 60.00 degrees
Sites, in units of the cell vectors:
1 O 0.183 0.350 0.763
2 O 0.946 0.577 0.224
3 O 0.577 0.253 0.225
4 O 0.253 0.946 0.225
5 O 0.350 0.704 0.763
6 O 0.704 0.183 0.763
7 Pm 0.525 0.525 0.424
8 Pm 0.015 0.015 0.955
9 K 0.788 0.788 0.637
10 Bi 0.321 0.321 0.036

=====

No. 11
Entry from the Alexandria database: crystalline KPmBi4O8 at its relaxed geometry (GGA-PBE).

Cell lengths 7.172, 7.172, 7.295 Å; angles 60.55, 60.55, 60.00 degrees
Sites, in units of the cell vectors:
1 O 0.769 0.769 0.231
2 O 0.745 0.745 0.765
3 O 0.769 0.232 0.231
4 O 0.232 0.769 0.231
5 O 0.233 0.233 0.719
6 O 0.225 0.225 0.325
7 O 0.233 0.815 0.719
8 O 0.815 0.233 0.719
9 Bi 0.487 0.000 0.512
10 Bi 0.623 0.623 0.132
11 Bi 0.000 0.000 0.512
12 Bi 0.000 0.487 0.512
13 K 0.371 0.371 0.888
14 Pm 0.999 0.999 0.004

Density of states at the Fermi level: 0.0 states/eV/f.u.

=====

No. 12
Entry from the Alexandria database: crystalline KPm2BiO5 at its relaxed geometry (GGA-PBE).

Cell lengths 6.879, 6.879, 8.067 Å; angles 115.24, 115.24, 90.00 degrees
Sites, in units of the cell vectors:
1 Pm 0.179 0.321 0.000
2 Pm 0.321 0.821 0.000
3 Pm 0.821 0.679 0.000
4 Pm 0.679 0.179 0.000
5 O 0.265 0.765 0.235
6 O 0.765 0.970 0.235
7 O 0.530 0.735 0.765
8 O 0.735 0.235 0.765
9 O 0.000 0.000 0.000
10 O 0.500 0.500 0.000
11 O 0.970 0.470 0.235
12 O 0.470 0.265 0.235
13 O 0.235 0.030 0.765
14 O 0.030 0.530 0.765
15 K 0.750 0.750 0.500
16 K 0.250 0.250 0.500
17 Bi 0.250 0.750 0.500
18 Bi 0.750 0.250 0.500

=====

No. 13
Entry from the Alexandria database: crystalline K3PrBi2O6 at its relaxed geometry (GGA-PBE).

Cell lengths 6.300, 6.300, 6.659 Å; angles 99.06, 99.06, 120.00 degrees
Sites, in units of the cell vectors:
1 O 0.265 0.265 0.801
2 O 0.735 0.735 0.199
3 O 0.934 0.602 0.801
4 O 0.398 0.066 0.199
5 O 0.602 0.934 0.801
6 O 0.066 0.398 0.199
7 Pr 0.000 0.000 0.000
8 Bi 0.334 0.666 0.000
9 Bi 0.666 0.334 0.000
10 K 0.830 0.170 0.500
11 K 0.170 0.830 0.500
12 K 0.500 0.500 0.500

Density of states at the Fermi level: 0.0 states/eV/f.u.

=====

No. 14
Entry from the Alexandria database: crystalline K2Pr2BiO6 at its relaxed geometry (GGA-PBE).

Cell lengths 6.262, 6.262, 6.714 Å; angles 98.14, 98.14, 119.83 degrees
Last column: magnetic moment on the atom in μB.
Sites, in units of the cell vectors:
1 O 0.047 0.377 0.681  0.08
2 O 0.623 0.953 0.319  0.08
3 O 0.254 0.254 0.316  0.12
4 O 0.953 0.623 0.319  0.08
5 O 0.746 0.746 0.684  0.12
6 O 0.377 0.047 0.681  0.08
7 K 0.161 0.839 0.000  0.00
8 K 0.839 0.161 0.000  0.00
9 Pr 0.335 0.665 0.500  0.01
10 Pr 0.665 0.335 0.500  0.01
11 Bi 0.000 0.000 0.500  0.10

Density of states at the Fermi level: 3.8 states/eV/f.u.

=====

No. 15
Entry from the Alexandria database: crystalline KPrBi4O8 at its relaxed geometry (GGA-PBE).

Cell lengths 7.178, 7.178, 7.348 Å; angles 60.76, 60.76, 60.00 degrees
Sites, in units of the cell vectors:
1 O 0.746 0.746 0.762
2 O 0.234 0.766 0.235
3 O 0.235 0.815 0.716
4 O 0.766 0.766 0.235
5 O 0.815 0.235 0.716
6 O 0.225 0.225 0.326
7 O 0.766 0.234 0.235
8 O 0.235 0.235 0.716
9 Pr 0.998 0.998 0.006
10 Bi 0.001 0.001 0.512
11 Bi 0.487 0.001 0.512
12 Bi 0.624 0.624 0.129
13 Bi 0.001 0.487 0.512
14 K 0.370 0.370 0.889

Density of states at the Fermi level: 0.0 states/eV/f.u.

=====

No. 16
Entry from the Alexandria database: crystalline KBiPtO4 at its relaxed geometry (GGA-PBE).

Cell lengths 6.056, 7.437, 6.667 Å; angles 116.63, 90.00, 114.02 degrees
Sites, in units of the cell vectors:
1 O 0.695 0.390 0.259
2 O 0.746 0.038 0.769
3 O 0.305 0.610 0.368
4 O 0.708 0.962 0.231
5 O 0.695 0.390 0.632
6 O 0.305 0.610 0.741
7 O 0.292 0.038 0.769
8 O 0.254 0.962 0.231
9 K 0.824 0.647 0.074
10 K 0.176 0.353 0.926
11 Bi 0.500 0.000 0.500
12 Bi 0.500 0.000 0.000
13 Pt 0.000 0.500 0.500
14 Pt 0.500 0.500 0.500

Density of states at the Fermi level: 1.6 states/eV/f.u.

=====

No. 17
Entry from the Alexandria database: crystalline KBiPt2O8 at its relaxed geometry (GGA-PBE).

Cell lengths 5.932, 5.932, 7.246 Å; angles 90.00, 90.00, 120.00 degrees
Sites, in units of the cell vectors:
1 O 0.068 0.395 0.123
2 O 0.327 0.932 0.123
3 O 0.605 0.673 0.123
4 O 0.395 0.327 0.877
5 O 0.667 0.333 0.295
6 O 0.932 0.605 0.877
7 O 0.333 0.667 0.705
8 O 0.673 0.068 0.877
9 Bi 0.000 0.000 0.000
10 Pt 0.333 0.667 0.958
11 Pt 0.667 0.333 0.042
12 K 0.000 0.000 0.500

Density of states at the Fermi level: 6.5 states/eV/f.u.

=====

No. 18
Entry from the Alexandria database: crystalline K2BiPtO4 at its relaxed geometry (GGA-PBE).

Cell lengths 5.701, 5.701, 5.701 Å; angles 103.90, 112.33, 112.33 degrees
Sites, in units of the cell vectors:
1 Bi 0.000 0.500 0.500
2 Pt 0.500 0.250 0.750
3 O 0.928 0.439 0.061
4 O 0.378 0.939 0.866
5 O 0.072 0.134 0.511
6 O 0.622 0.489 0.561
7 K 0.500 0.750 0.250
8 K 0.000 0.000 0.000

Density of states at the Fermi level: 5.1 states/eV/f.u.

=====

No. 19
Entry from the Alexandria database: crystalline K2PuBi2O6 at its relaxed geometry (GGA-PBE).

Cell lengths 6.162, 6.162, 6.743 Å; angles 98.78, 98.78, 119.14 degrees
Last column: magnetic moment on the atom in μB.
Sites, in units of the cell vectors:
1 O 0.218 0.218 0.311  -0.07
2 O 0.954 0.620 0.319  -0.03
3 O 0.046 0.380 0.681  -0.03
4 O 0.380 0.046 0.681  -0.03
5 O 0.782 0.782 0.689  -0.07
6 O 0.620 0.954 0.319  -0.03
7 Bi 0.669 0.331 0.500  0.02
8 Bi 0.331 0.669 0.500  0.02
9 Pu 0.000 0.000 0.500  4.17
10 K 0.830 0.170 0.000  0.00
11 K 0.170 0.830 0.000  0.00

Density of states at the Fermi level: 2.1 states/eV/f.u.

=====

No. 20
Entry from the Alexandria database: crystalline K4Pu3BiO12 at its relaxed geometry (GGA-PBE).

Cell lengths 7.477, 7.477, 7.477 Å; angles 109.47, 109.47, 109.47 degrees
Last column: magnetic moment on the atom in μB.
Sites, in units of the cell vectors:
1 O 0.750 0.500 0.250  -0.12
2 O 0.750 0.250 0.500  -0.12
3 O 0.000 0.731 0.731  -0.10
4 O 0.269 0.000 0.269  -0.10
5 O 0.269 0.269 0.000  -0.10
6 O 0.731 0.000 0.731  -0.10
7 O 0.250 0.750 0.500  -0.12
8 O 0.731 0.731 0.000  -0.10
9 O 0.500 0.750 0.250  -0.12
10 O 0.000 0.269 0.269  -0.10
11 O 0.250 0.500 0.750  -0.12
12 O 0.500 0.250 0.750  -0.12
13 Pu 0.000 0.500 0.500  2.77
14 Pu 0.500 0.500 0.000  2.77
15 Pu 0.500 0.000 0.500  2.77
16 Bi 0.000 0.000 0.000  -0.03
17 K 0.500 0.000 0.000  0.00
18 K 0.000 0.500 0.000  0.00
19 K 0.500 0.500 0.500  0.00
20 K 0.000 0.000 0.500  0.00

Density of states at the Fermi level: 8.5 states/eV/f.u.

=====

Number 1: formation energy from raw total energies -1806.6 meV/atom, M_tot 0.123 μB per atom. Number 2: formation energy from raw total energies -1247.0 meV/atom, M_tot 0.000 μB per atom. Number 3: formation energy from raw total energies -711.1 meV/atom, M_tot 0.000 μB per atom. Number 4: formation energy from raw total energies -1199.1 meV/atom, M_tot 0.000 μB per atom. Number 5: formation energy from raw total energies -1200.0 meV/atom, M_tot 0.000 μB per atom. Number 6: formation energy from raw total energies -872.6 meV/atom, M_tot 0.097 μB per atom. Number 7: formation energy from raw total energies -1141.0 meV/atom, M_tot 0.039 μB per atom. Number 8: formation energy from raw total energies -998.3 meV/atom, M_tot 0.000 μB per atom. Number 9: formation energy from raw total energies -859.2 meV/atom, M_tot 0.000 μB per atom. Number 10: formation energy from raw total energies -2245.8 meV/atom, M_tot 0.000 μB per atom. Number 11: formation energy from raw total energies -1600.5 meV/atom, M_tot 0.000 μB per atom. Number 12: formation energy from raw total energies -2277.9 meV/atom, M_tot 0.000 μB per atom. Number 13: formation energy from raw total energies -1749.8 meV/atom, M_tot 0.000 μB per atom. Number 14: formation energy from raw total energies -2134.1 meV/atom, M_tot 0.077 μB per atom. Number 15: formation energy from raw total energies -1582.4 meV/atom, M_tot 0.000 μB per atom. Number 16: formation energy from raw total energies -847.8 meV/atom, M_tot 0.000 μB per atom. Number 17: formation energy from raw total energies -270.7 meV/atom, M_tot 0.000 μB per atom. Number 18: formation energy from raw total energies -1028.6 meV/atom, M_tot 0.000 μB per atom. Number 19: formation energy from raw total energies -1786.6 meV/atom, M_tot 0.364 μB per atom. Number 20: formation energy from raw total energies -2288.7 meV/atom, M_tot 0.350 μB per atom.